Entry 1:
## TmMgSc2In2 (PBE)

Data for an optimized crystal structure of TmMgSc2In2.

Cell lengths 5.0769, 5.0769, 6.3077 Å; angles 90.00, 90.00, 120.00 degrees
Fractional coordinates of all 6 atoms:
1 In 0.3333 0.6667 0.2952
2 In 0.6667 0.3333 0.7048
3 Mg 0.0000 0.0000 0.0000
4 Sc 0.6667 0.3333 0.1875
5 Sc 0.3333 0.6667 0.8125
6 Tm 0.0000 0.0000 0.5000

---

Entry 2:
## Li2Sc2Al2NiAg (PBE)

Data for an optimized crystal structure of Li2Sc2Al2NiAg.

Cell lengths 4.4372, 4.4372, 6.4538 Å; angles 90.00, 90.00, 90.00 degrees
Fractional coordinates of all 8 atoms:
1 Ag 0.0000 0.0000 0.0000
2 Al 0.0000 0.5000 0.2652
3 Al 0.5000 0.0000 0.7348
4 Li 0.5000 0.5000 0.0000
5 Li 0.0000 0.0000 0.5000
6 Ni 0.5000 0.5000 0.5000
7 Sc 0.5000 0.0000 0.2722
8 Sc 0.0000 0.5000 0.7278

---

Entry 3:
## AgTe2As (PBE)

Data for an optimized crystal structure of AgTe2As.

Cell lengths 5.1201, 5.1201, 5.1201 Å; angles 60.00, 60.00, 60.00 degrees
Fractional coordinates of all 4 atoms:
1 Ag 0.7500 0.7500 0.7500
2 As 0.0000 0.0000 0.0000
3 Te 0.2500 0.2500 0.2500
4 Te 0.5000 0.5000 0.5000

---

Entry 4:
## TlIr7 (PBE)

Data for an optimized crystal structure of TlIr7.

Cell lengths 2.7727, 2.7727, 43.7737 Å; angles 90.00, 90.00, 90.00 degrees
Fractional coordinates of all 16 atoms:
1 Ir 0.5000 0.0000 0.2169
2 Ir 0.0000 0.5000 0.2589
3 Ir 0.5000 0.0000 0.3030
4 Ir 0.0000 0.5000 0.3470
5 Ir 0.5000 0.0000 0.3908
6 Ir 0.0000 0.5000 0.4344
7 Ir 0.5000 0.0000 0.4781
8 Ir 0.0000 0.5000 0.5219
9 Ir 0.5000 0.0000 0.5656
10 Ir 0.0000 0.5000 0.6092
11 Ir 0.5000 0.0000 0.6530
12 Ir 0.0000 0.5000 0.6970
13 Ir 0.5000 0.0000 0.7411
14 Ir 0.0000 0.5000 0.7831
15 Tl 0.0000 0.5000 0.1601
16 Tl 0.5000 0.0000 0.8399

energy relative to the lowest polymorph listed for this composition	6	meV per atom

---

Entry 5:
## SmHoNi2B2N2 (PBE)

Data for an optimized crystal structure of SmHoNi2B2N2.

Cell lengths 3.5266, 3.5266, 7.5284 Å; angles 90.00, 90.00, 90.00 degrees
Fractional coordinates of all 8 atoms:
1 B 0.5000 0.5000 0.3417
2 B 0.0000 0.0000 0.6589
3 Ho 0.0000 0.0000 0.1683
4 N 0.5000 0.5000 0.1483
5 N 0.0000 0.0000 0.8537
6 Ni 0.5000 0.0000 0.4992
7 Ni 0.0000 0.5000 0.4992
8 Sm 0.5000 0.5000 0.8308

---

Entry 6:
## ReB2 (PBE)

Data for an optimized crystal structure of ReB2.

Cell lengths 6.5366, 6.5366, 6.5366 Å; angles 60.00, 60.00, 60.00 degrees
Fractional coordinates of all 6 atoms:
1 B 0.3750 0.3750 0.3750
2 B 0.8750 0.3750 0.3750
3 B 0.3750 0.8750 0.3750
4 B 0.3750 0.3750 0.8750
5 Re 0.2500 0.2500 0.2500
6 Re 0.5000 0.5000 0.5000

---

Entry 7:
## GaRe2W (PBE)

Data for an optimized crystal structure of GaRe2W.

Cell lengths 4.4049, 4.4049, 4.4049 Å; angles 60.00, 60.00, 60.00 degrees
Fractional coordinates of all 4 atoms:
1 Ga 0.5000 0.5000 0.5000
2 Re 0.0000 0.0000 0.0000
3 Re 0.7500 0.7500 0.7500
4 W 0.2500 0.2500 0.2500

---

Entry 8:
## GeIr (PBE)

Data for an optimized crystal structure of GeIr.

Cell lengths 3.9103, 3.9103, 3.9103 Å; angles 60.00, 60.00, 60.00 degrees
Fractional coordinates of all 2 atoms:
1 Ge 0.0000 0.0000 0.0000
2 Ir 0.2500 0.2500 0.2500

---

no.,energy (eV per atom)
1,-4.383
2,-4.444
3,-3.009
4,-7.900
5,-7.363
6,-6.856
7,-9.926
8,-6.575